[1]
A relaxed structure of KPtRh2, computed with PBEsol.

Cell: 2.693 4.914 10.239 Å, 90.00 90.00 90.00°
Space group Imm2 (No. 44)
One atom of each set of equivalent atoms:
K1 0.000 0.000 0.000
Pt1 0.000 0.500 0.782
Rh1 0.000 0.000 0.507
Rh2 0.000 0.500 0.221

Computed properties:
- total magnetization (μB/cell) = 0.01
- E above lowest polymorph (meV per atom) = 186
- total DFT energy (no corrections) (eV/atom) = -5.501



[2]
A relaxed structure of KPtRh2, computed with PBEsol.

Cell: 2.653 4.081 6.938 Å, 90.00 90.00 90.00°
Space group Pmmm (No. 47)
One atom of each set of equivalent atoms:
K1 0.000 0.000 0.000
Pt1 0.000 0.000 0.500
Rh1 0.500 0.500 0.325

Computed properties:
- total magnetization (μB/cell) = 0.00
- E above lowest polymorph (meV per atom) = 103
- total DFT energy (no corrections) (eV/atom) = -5.583



[3]
A relaxed structure of KPtRh2, computed with PBEsol.

Cell: 2.666 4.175 7.052 Å, 90.00 100.47 90.00°
Space group Pm (No. 6)
One atom of each set of equivalent atoms:
K1 0.000 0.000 0.000
Pt1 0.649 0.500 0.308
Rh1 0.310 0.500 0.645
Rh2 0.755 0.000 0.531

Computed properties:
- total magnetization (μB/cell) = 0.00
- E above lowest polymorph (meV per atom) = 39
- total DFT energy (no corrections) (eV/atom) = -5.647



[4]
A relaxed structure of KPtRh2, computed with PBEsol.

Cell: 4.026 4.026 4.014 Å, 90.00 90.00 90.00°
Space group P4/mmm (No. 123)
One atom of each set of equivalent atoms:
K1 0.000 0.000 0.000
Pt1 0.500 0.500 0.000
Rh1 0.000 0.500 0.500

Computed properties:
- total magnetization (μB/cell) = 0.00
- E above lowest polymorph (meV per atom) = 447
- total DFT energy (no corrections) (eV/atom) = -5.239



[5]
A relaxed structure of KPt2Rh, computed with PBEsol.

Cell: 4.992 4.992 2.692 Å, 90.00 90.00 90.00°
Space group P4/mmm (No. 123)
One atom of each set of equivalent atoms:
K1 0.000 0.000 0.000
Pt1 0.000 0.500 0.500
Rh1 0.500 0.500 0.000

Computed properties:
- total magnetization (μB/cell) = 0.00
- total DFT energy (no corrections) (eV/atom) = -5.289



[6]
A relaxed structure of KRuPt, computed with PBEsol.

Cell: 6.404 6.404 6.404 Å, 90.00 90.00 90.00°
Space group F-43m (No. 216)
One atom of each set of equivalent atoms:
K1 0.000 0.000 0.000
Ru1 0.000 0.000 0.500
Pt1 0.250 0.250 0.750

Computed properties:
- total magnetization (μB/cell) = 9.85
- total DFT energy (no corrections) (eV/atom) = -4.676



[7]
A relaxed structure of K2RuPt, computed with PBEsol.

Cell: 2.8332 2.8332 32.8388 Å, 90.00 90.00 120.00°
Space group R-3m (No. 166, hexagonal axes)
One atom of each set of equivalent atoms:
K1 0.0000 0.0000 0.2487
Ru1 0.0000 0.0000 0.0000
Pt1 0.0000 0.0000 0.5000

Computed properties:
- total magnetization (μB/cell) = 1.29
- total DFT energy (no corrections) (eV/atom) = -4.028



[8]
A relaxed structure of K2ScRuPt, computed with PBEsol.

Cell: 5.745 5.745 4.987 Å, 90.00 90.00 90.00°
Space group P4/mmm (No. 123)
One atom of each set of equivalent atoms:
K1 0.000 0.500 0.000
Sc1 0.000 0.000 0.500
Ru1 0.500 0.500 0.500
Pt1 0.000 0.000 0.000

Computed properties:
- total magnetization (μB/cell) = 1.73
- total DFT energy (no corrections) (eV/atom) = -3.965



[9]
A relaxed structure of KPtS3, computed with PBEsol.

Cell: 5.241 5.241 5.241 Å, 90.00 90.00 90.00°
Space group Pm-3m (No. 221)
One atom of each set of equivalent atoms:
K1 0.000 0.000 0.000
Pt1 0.500 0.500 0.500
S1 0.000 0.000 0.500

Computed properties:
- total magnetization (μB/cell) = 5.07
- total DFT energy (no corrections) (eV/atom) = -2.267
- energy relative to the elements, uncorrected (eV per formula unit) = 9.915



[10]
A relaxed structure of KTiPt2S, computed with PBEsol.

Cell: 4.811 4.811 4.767 Å, 90.00 90.00 90.00°
Space group P4/mmm (No. 123)
One atom of each set of equivalent atoms:
K1 0.000 0.000 0.000
Ti1 0.000 0.000 0.500
Pt1 0.000 0.500 0.000
S1 0.500 0.500 0.500

Computed properties:
- total magnetization (μB/cell) = 2.17
- total DFT energy (no corrections) (eV/atom) = -3.357
- energy relative to the elements, uncorrected (eV per formula unit) = 10.984



[11]
A relaxed structure of KSb2Pt, computed with PBEsol.

Cell: 7.116 7.116 7.116 Å, 90.00 90.00 90.00°
Space group Fm-3m (No. 225)
One atom of each set of equivalent atoms:
K1 0.000 0.000 0.000
Sb1 0.250 0.250 0.250
Pt1 0.000 0.000 0.500

Computed properties:
- total magnetization (μB/cell) = 0.00
- E above lowest polymorph (meV per atom) = 528
- total DFT energy (no corrections) (eV/atom) = -4.247
- energy relative to the elements, uncorrected (eV per formula unit) = 0.222



[12]
A relaxed structure of KSb2Pt, computed with PBEsol.

Cell: 5.031 4.318 5.853 Å, 90.00 102.34 90.00°
Space group Pm (No. 6)
One atom of each set of equivalent atoms:
K1 0.000 0.000 0.000
Sb1 0.400 0.500 0.672
Sb2 0.602 0.000 0.394
Pt1 0.882 0.500 0.528

Computed properties:
- total magnetization (μB/cell) = 0.00
- E above lowest polymorph (meV per atom) = 270
- total DFT energy (no corrections) (eV/atom) = -4.505
- energy relative to the elements, uncorrected (eV per formula unit) = -0.810



[13]
A relaxed structure of KSbPt, computed with PBEsol.

Cell: 3.641 3.641 12.012 Å, 90.00 90.00 90.00°
Space group I4mm (No. 107)
One atom of each set of equivalent atoms:
K1 0.000 0.000 0.000
Sb1 0.000 0.000 0.719
Pt1 0.000 0.000 0.284

Computed properties:
- total magnetization (μB/cell) = 0.00
- E above lowest polymorph (meV per atom) = 0
- total DFT energy (no corrections) (eV/atom) = -4.552
- energy relative to the elements, uncorrected (eV per formula unit) = -1.002



[14]
A relaxed structure of KSb2Pt, computed with PBEsol.

Cell: 3.514 3.665 7.857 Å, 90.00 90.00 90.00°
Space group Pmmm (No. 47)
One atom of each set of equivalent atoms:
K1 0.000 0.000 0.000
Sb1 0.500 0.500 0.323
Pt1 0.000 0.000 0.500

Computed properties:
- total magnetization (μB/cell) = 0.00
- E above lowest polymorph (meV per atom) = 294
- total DFT energy (no corrections) (eV/atom) = -4.481
- energy relative to the elements, uncorrected (eV per formula unit) = -0.714



[15]
A relaxed structure of KSb2Pt, computed with PBEsol.

Cell: 4.2268 4.2268 21.8607 Å, 90.00 90.00 120.00°
Space group R-3m (No. 166, hexagonal axes)
One atom of each set of equivalent atoms:
K1 0.0000 0.0000 0.0000
Sb1 0.0000 0.0000 0.2187
Pt1 0.0000 0.0000 0.5000

Computed properties:
- total magnetization (μB/cell) = 0.00
- E above lowest polymorph (meV per atom) = 7
- total DFT energy (no corrections) (eV/atom) = -4.769
- energy relative to the elements, uncorrected (eV per formula unit) = -1.863



[16]
A relaxed structure of KSb2Pt, computed with PBEsol.

Cell: 7.230 7.230 7.230 Å, 90.00 90.00 90.00°
Space group F-43m (No. 216)
One atom of each set of equivalent atoms:
K1 0.000 0.000 0.000
Sb1 0.000 0.000 0.500
Sb2 0.250 0.250 0.750
Pt1 0.250 0.250 0.250

Computed properties:
- total magnetization (μB/cell) = 0.00
- E above lowest polymorph (meV per atom) = 702
- total DFT energy (no corrections) (eV/atom) = -4.074
- energy relative to the elements, uncorrected (eV per formula unit) = 0.917